[1]
An optimized crystal structure of Rb2Er2HfSe6, computed with GGA-PBE.

The structure in CIF format:
```
data_Rb2Er2HfSe6
_cell_length_a 7.037
_cell_length_b 12.114
_cell_length_c 8.546
_cell_angle_alpha 90.00
_cell_angle_beta 106.45
_cell_angle_gamma 90.00
_symmetry_space_group_name_H-M 'C 1 2/m 1'
_symmetry_Int_Tables_number 12
loop_
_symmetry_equiv_pos_as_xyz
'x,y,z'
'-x,-y,-z'
'-x,y,-z'
'x,-y,z'
'x+1/2,y+1/2,z'
'-x+1/2,-y+1/2,-z'
'-x+1/2,y+1/2,-z'
'x+1/2,-y+1/2,z'
loop_
_atom_site_label
_atom_site_type_symbol
_atom_site_fract_x
_atom_site_fract_y
_atom_site_fract_z
_atom_site_occupancy
Rb1 Rb 0.000 0.170 0.000 1
Er1 Er 0.000 0.333 0.500 1
Hf1 Hf 0.000 0.000 0.500 1
Se1 Se 0.225 0.158 0.689 1
Se2 Se 0.247 0.500 0.688 1
```

raw total energy: -5.4557 eV/atom
formation energy (no corrections): -1.64 eV/atom
theoretical density: 5.5 Mg/m³
volume: 31.8 A^3/atom



[2]
An optimized crystal structure of GaSi3Pb, computed with GGA-PBE.

The structure in CIF format:
```
data_GaSi3Pb
_cell_length_a 4.857
_cell_length_b 4.857
_cell_length_c 4.857
_cell_angle_alpha 90.00
_cell_angle_beta 90.00
_cell_angle_gamma 90.00
_symmetry_space_group_name_H-M 'P m -3 m'
_symmetry_Int_Tables_number 221
_symmetry_space_group_name_Hall '-P 4 2 3'
loop_
_atom_site_label
_atom_site_type_symbol
_atom_site_fract_x
_atom_site_fract_y
_atom_site_fract_z
_atom_site_occupancy
Ga1 Ga 0.000 0.000 0.000 1
Si1 Si 0.000 0.000 0.500 1
Pb1 Pb 0.500 0.500 0.500 1
```

raw total energy: -3.7839 eV/atom
formation energy (no corrections): 0.82 eV/atom
theoretical density: 5.2 Mg/m³
volume: 22.9 A^3/atom